Record 1
Compound: DyZn2Ga2Au2
Source: Alexandria via LeMat-Bulk
Functional: PBE
Structure: optimized geometry

## Properties
Energy relative to the elements, eV/atom: -0.41
Total magnetic moment, μB per cell: 0.0
Density of states at the Fermi level, states/eV/cell: 3.8
Crystal system: trigonal
E, Ry/atom: -0.238

abc: 8.0730 8.0730 8.0730
angles: 32.28 32.28 32.28
With the nearest neighbours (Å) after each atom.
Positions (direct):
1 Dy 0.0000 0.0000 0.0000  6 Ga 3.03, 2 Zn 3.09, 6 Au 3.21
2 Zn 0.1348 0.1348 0.1348  4 Au 2.65-2.85
3 Zn 0.8652 0.8652 0.8652  4 Au 2.65-2.85
4 Ga 0.4015 0.4015 0.4015  3 Au 2.61
5 Ga 0.5985 0.5985 0.5985  3 Au 2.61
6 Au 0.2505 0.2505 0.2505  3 Ga 2.61, 4 Zn 2.65-2.85
7 Au 0.7495 0.7495 0.7495  3 Ga 2.61, 4 Zn 2.65-2.85

Record 2
Compound: GdDyAu
Source: Alexandria via LeMat-Bulk
Functional: PBE
Structure: optimized geometry

## Properties
Energy relative to the elements, eV/atom: -0.44
Total magnetic moment, μB per cell: 30.0
Density of states at the Fermi level, states/eV/cell: 15.4
Relative energy among the computed polymorphs, eV/f.u.: 0.33
Crystal system: cubic
E, Ry/atom: -0.570

abc: 7.0638 7.0638 7.0638
angles: 90.00 90.00 90.00
With the nearest neighbours (Å) after each atom.
Positions (direct):
1 Gd 0.0000 0.0000 0.0000  4 Au 3.06
2 Gd 0.0000 0.5000 0.5000  4 Au 3.06
3 Gd 0.5000 0.0000 0.5000  4 Au 3.06
4 Gd 0.5000 0.5000 0.0000  4 Au 3.06
5 Dy 0.0000 0.0000 0.5000  4 Au 3.06
6 Dy 0.0000 0.5000 0.0000  4 Au 3.06
7 Dy 0.5000 0.0000 0.0000  4 Au 3.06
8 Dy 0.5000 0.5000 0.5000  4 Au 3.06
9 Au 0.2500 0.2500 0.7500  4 Gd 3.06, 4 Dy 3.06
10 Au 0.2500 0.7500 0.2500  4 Gd 3.06, 4 Dy 3.06
11 Au 0.7500 0.2500 0.2500  4 Gd 3.06, 4 Dy 3.06
12 Au 0.7500 0.7500 0.7500  4 Dy 3.06, 4 Gd 3.06